[1]
# NpPa2P2N2

NpPa2P2N2 after structural relaxation (PBE, Alexandria).

Values from the calculation:
The magnetization comes out at 0.69 μB/atom. As for the total energy: -9.785 eV per atom. The density of states at the Fermi level comes out at 10.2 states/eV per cell.

POSCAR file:
```
NpPa2P2N2
1.0
5.979 -1.918 0.000
5.979 1.918 0.000
-3.544 0.000 5.712
Np Pa P N
1 2 2 2
direct
0.000 0.000 0.000
0.189 0.189 0.729
0.811 0.811 0.271
0.430 0.430 0.657
0.570 0.570 0.343
0.209 0.209 0.090
0.791 0.791 0.910
```

***

[2]
# TiCrRh3

TiCrRh3 after structural relaxation (PBE, Alexandria).

Values from the calculation:
The magnetization comes out at 0.04 μB/atom. As for the total energy: -6.931 eV per atom. Its formation energy is 983 meV per atom. The energy above the most stable polymorph in this dataset is 340 meV/atom. The density of states at the Fermi level comes out at 6.1 states/eV per cell.

POSCAR file:
```
TiCrRh3
1.0
4.478 0.000 0.000
0.000 4.478 0.000
0.000 0.000 4.478
Ti Cr Rh
1 1 3
direct
0.000 0.000 0.000
0.500 0.500 0.500
0.000 0.000 0.500
0.000 0.500 0.000
0.500 0.000 0.000
```

***

[3]
# CdHgPb3

CdHgPb3 after structural relaxation (PBE, Alexandria).

Values from the calculation:
The magnetization comes out at 0.00 μB/atom. As for the total energy: -2.428 eV per atom. Its formation energy is 40 meV per atom. The energy above the most stable polymorph in this dataset is 0 meV/atom. The density of states at the Fermi level comes out at 8.6 states/eV per cell.

POSCAR file:
```
CdHgPb3
1.0
8.741 0.000 0.000
0.000 3.603 0.000
0.000 0.000 18.355
Cd Hg Pb
4 4 12
direct
0.137 0.250 0.151
0.363 0.750 0.651
0.637 0.250 0.349
0.863 0.750 0.849
0.150 0.250 0.546
0.350 0.750 0.046
0.650 0.250 0.954
0.850 0.750 0.454
0.091 0.250 0.359
0.114 0.250 0.943
0.140 0.250 0.756
0.360 0.750 0.256
0.386 0.750 0.443
0.409 0.750 0.859
0.591 0.250 0.141
0.614 0.250 0.557
0.640 0.250 0.744
0.860 0.750 0.244
0.886 0.750 0.057
0.909 0.750 0.641
```

***

[4]
# Tl2HgAu

Tl2HgAu after structural relaxation (PBE, Alexandria).

Values from the calculation:
The magnetization comes out at 0.00 μB/atom. As for the total energy: -2.090 eV per atom. Its formation energy is -13 meV per atom. The energy above the most stable polymorph in this dataset is 12 meV/atom. The density of states at the Fermi level comes out at 0.9 states/eV per cell.

POSCAR file:
```
Tl2HgAu
1.0
3.803 -2.279 0.000
3.803 2.279 0.000
-2.739 0.000 6.820
Tl Hg Au
2 1 1
direct
0.241 0.241 0.220
0.759 0.759 0.780
0.000 0.000 0.500
0.500 0.500 0.000
```

***

[5]
# GdBIr2

GdBIr2 after structural relaxation (PBE, Alexandria).

Values from the calculation:
The magnetization comes out at 1.74 μB/atom. As for the total energy: -9.833 eV per atom. Its formation energy is -213 meV per atom. The density of states at the Fermi level comes out at 3.3 states/eV per cell.

POSCAR file:
```
GdBIr2
1.0
1.898 1.096 5.451
-1.898 1.096 5.451
0.000 -2.192 5.451
Gd B Ir
1 1 2
direct
0.000 0.000 0.000
0.500 0.500 0.500
0.209 0.209 0.209
0.791 0.791 0.791
```

***

[6]
# TbPmDyZn

TbPmDyZn after structural relaxation (PBE, Alexandria).

Values from the calculation:
The magnetization comes out at 0.00 μB/atom. As for the total energy: -3.732 eV per atom. Its formation energy is 82 meV per atom. The energy above the most stable polymorph in this dataset is 244 meV/atom. The density of states at the Fermi level comes out at 5.2 states/eV per cell.

POSCAR file:
```
TbPmDyZn
1.0
0.000 3.800 3.800
3.800 0.000 3.800
3.800 3.800 0.000
Tb Pm Dy Zn
1 1 1 1
direct
0.000 0.000 0.000
0.250 0.250 0.250
0.500 0.500 0.500
0.750 0.750 0.750
```

***

[7]
# Sc3HgPd

Sc3HgPd after structural relaxation (PBE, Alexandria).

Values from the calculation:
The magnetization comes out at 0.00 μB/atom. As for the total energy: -5.006 eV per atom. Its formation energy is -108 meV per atom. The energy above the most stable polymorph in this dataset is 0 meV/atom. The density of states at the Fermi level comes out at 11.9 states/eV per cell.

POSCAR file:
```
Sc3HgPd
1.0
5.053 0.000 0.000
0.000 5.053 0.000
0.000 0.000 5.053
Sc Hg Pd
3 1 1
direct
0.000 0.000 0.500
0.000 0.500 0.000
0.500 0.000 0.000
0.500 0.500 0.500
0.000 0.000 0.000
```

***

[8]
# LiLa2Th

LiLa2Th after structural relaxation (PBE, Alexandria).

Values from the calculation:
The magnetization comes out at 0.00 μB/atom. As for the total energy: -4.660 eV per atom. Its formation energy is 137 meV per atom. The energy above the most stable polymorph in this dataset is 121 meV/atom. The density of states at the Fermi level comes out at 4.6 states/eV per cell.

POSCAR file:
```
LiLa2Th
1.0
1.788 1.033 12.452
-1.788 1.033 12.452
0.000 -2.065 12.452
Li La Th
1 2 1
direct
0.000 0.000 0.000
0.090 0.090 0.090
0.910 0.910 0.910
0.500 0.500 0.500
```